## RbMn2FeF8 (PBE with a Hubbard U)

Data for RbMn2FeF8 after structural relaxation.

Properties
Symmetry: P-1, No. 2
V (Å³/cell): 190.1
Theoretical density (g cm⁻³): 3.52
DFT total energy (eV/atom): -5.626

Unit cell a=5.183 b=5.135 c=7.247 alpha=94.67 beta=94.65 gamma=82.61
Last column: magnetic moment on the atom in μB.
Element x y z (fractional)
1 Rb 0.000 0.000 0.500  0.00
2 F 0.795 0.213 0.188  0.09
3 F 0.795 0.212 0.812  0.09
4 F 0.743 0.750 0.960  0.10
5 F 0.653 0.666 0.486  0.05
6 F 0.347 0.334 0.514  0.05
7 F 0.257 0.250 0.040  0.10
8 F 0.205 0.788 0.188  0.09
9 F 0.205 0.787 0.812  0.09
10 Mn 0.456 0.454 0.263  4.69
11 Mn 0.544 0.546 0.737  4.69
12 Fe 0.000 0.000 0.000  4.49